Arrangement A

# MgHgSe2, optimized geometry, DFT PBEsol
# calculated density: 5.7 g/cm3
# crystal system: trigonal
# total moment: 0.000 μB per atom
data_MgHgSe2
_chemical_formula_sum 'Mg3 Hg3 Se6'
_space_group_name_H-M_alt 'R -3 m'
_space_group_IT_number 166
_space_group_name_Hall '-R 3 2"'
_cell_length_a 4.1585
_cell_length_b 4.1585
_cell_length_c 22.4019
_cell_angle_alpha 90.00
_cell_angle_beta 90.00
_cell_angle_gamma 120.00
loop_
_atom_site_label
_atom_site_fract_x
_atom_site_fract_y
_atom_site_fract_z
Mg1 0.0000 0.0000 0.0000
Hg1 0.0000 0.0000 0.5000
Se1 0.0000 0.0000 0.3908

Arrangement B

# MgHgSe2, optimized geometry, DFT PBEsol
# calculated density: 6.8 g/cm3
# crystal system: trigonal
# total moment: 0.000 μB per atom
data_MgHgSe2
_chemical_formula_sum 'Mg3 Hg3 Se6'
_space_group_name_H-M_alt 'R -3 m'
_space_group_IT_number 166
_space_group_name_Hall '-R 3 2"'
_cell_length_a 3.2570
_cell_length_b 3.2570
_cell_length_c 30.3810
_cell_angle_alpha 90.00
_cell_angle_beta 90.00
_cell_angle_gamma 120.00
loop_
_atom_site_label
_atom_site_fract_x
_atom_site_fract_y
_atom_site_fract_z
Mg1 0.0000 0.0000 0.0000
Hg1 0.0000 0.0000 0.5000
Se1 0.0000 0.0000 0.2710

Most favorable first, least favorable last: arrangement A, arrangement B